TbSmAg4 (GGA-PBE, optimized geometry); energy of formation = -287 meV per atom
1.0
2.6750 -4.6849 0.0000
2.6750 4.6849 0.0000
-0.0198 0.0000 5.3435
Tb Sm Ag
1 1 4
direct
0.0000 0.0000 0.0000
0.5000 0.5000 0.5000
0.1697 0.8303 0.5000
0.3276 0.6724 0.0000
0.6724 0.3276 0.0000
0.8303 0.1697 0.5000

=====

Tb3Sm5Ag2 (GGA-PBE, optimized geometry); energy of formation = 123 meV per atom
1.0
-5.7548 8.1646 3.3240
5.7548 -8.1646 3.3240
5.7548 8.1646 -3.3240
Tb Sm Ag
6 10 4
direct
0.1665 0.2167 0.3832
0.2500 0.2500 0.0000
0.3335 0.7167 0.0503
0.6665 0.2833 0.9497
0.7500 0.7500 0.0000
0.8335 0.7833 0.6168
0.0567 0.7500 0.3067
0.0619 0.7327 0.7947
0.2500 0.7500 0.5000
0.4381 0.2327 0.6708
0.4433 0.7500 0.6933
0.5567 0.2500 0.3067
0.5619 0.7673 0.3292
0.7500 0.2500 0.5000
0.9381 0.2673 0.2053
0.9433 0.2500 0.6933
0.1596 0.9437 0.1033
0.3404 0.4437 0.7841
0.6596 0.5563 0.2159
0.8404 0.0563 0.8967

=====

TbSm2Ag (GGA-PBE, optimized geometry); energy of formation = 71 meV per atom
1.0
0.0000 3.8574 3.8574
3.8574 0.0000 3.8574
3.8574 3.8574 0.0000
Tb Sm Ag
1 2 1
direct
0.0000 0.0000 0.0000
0.2500 0.2500 0.2500
0.7500 0.7500 0.7500
0.5000 0.5000 0.5000

=====

TbSmAg (GGA-PBE, optimized geometry); energy of formation = -24 meV per atom
1.0
5.0952 0.0000 0.0000
-2.5476 4.4126 0.0000
0.0000 0.0000 3.6935
Tb Sm Ag
1 1 1
direct
0.0000 0.0000 0.0000
0.6667 0.3333 0.5523
0.3333 0.6667 0.2498

=====

Tb4Sm3Ag4 (GGA-PBE, optimized geometry); energy of formation = -109 meV per atom
1.0
-2.5355 3.7857 7.9892
2.5355 -3.7857 7.9892
2.5355 3.7857 -7.9892
Tb Sm Ag
4 3 4
direct
0.0465 0.8249 0.2216
0.3967 0.1751 0.2216
0.6033 0.8249 0.7784
0.9535 0.1751 0.7784
0.0000 0.5000 0.5000
0.3954 0.3954 0.0000
0.6046 0.6046 0.0000
0.1971 0.6971 0.5000
0.3132 0.0000 0.3132
0.6868 0.0000 0.6868
0.8029 0.3029 0.5000

=====

Tb5Sm3Ag12 (GGA-PBE, optimized geometry); energy of formation = 224 meV per atom
1.0
-8.4892 8.4892 8.4892
8.4892 -8.4892 8.4892
8.4892 8.4892 -8.4892
Tb Sm Ag
20 12 48
direct
0.0000 0.0000 0.0000
0.0000 0.0000 0.5000
0.0000 0.5000 0.0000
0.0000 0.5000 0.5000
0.1250 0.7500 0.8750
0.1250 0.8750 0.2500
0.2500 0.1250 0.8750
0.2500 0.6250 0.3750
0.3750 0.2500 0.6250
0.3750 0.6250 0.7500
0.5000 0.0000 0.0000
0.5000 0.0000 0.5000
0.5000 0.5000 0.0000
0.5000 0.5000 0.5000
0.6250 0.3750 0.2500
0.6250 0.7500 0.3750
0.7500 0.3750 0.6250
0.7500 0.8750 0.1250
0.8750 0.1250 0.7500
0.8750 0.2500 0.1250
0.1250 0.2500 0.3750
0.1250 0.3750 0.7500
0.2500 0.3750 0.1250
0.2500 0.8750 0.6250
0.3750 0.1250 0.2500
0.3750 0.7500 0.1250
0.6250 0.2500 0.8750
0.6250 0.8750 0.7500
0.7500 0.1250 0.3750
0.7500 0.6250 0.8750
0.8750 0.6250 0.2500
0.8750 0.7500 0.6250
0.0743 0.2308 0.1508
0.0743 0.3434 0.9235
0.0765 0.6508 0.4199
0.0765 0.9257 0.6566
0.0801 0.7308 0.6566
0.0801 0.8492 0.4235
0.1508 0.0743 0.2308
0.1508 0.5765 0.9199
0.1566 0.2308 0.5801
0.1566 0.4257 0.5765
0.2308 0.1508 0.0743
0.2308 0.5801 0.1566
0.2692 0.3434 0.9199
0.2692 0.4257 0.3492
0.3434 0.9199 0.2692
0.3434 0.9235 0.0743
0.3492 0.2692 0.4257
0.3492 0.5801 0.9235
0.4199 0.0765 0.6508
0.4199 0.8434 0.7692
0.4235 0.0801 0.8492
0.4235 0.8434 0.5743
0.4257 0.3492 0.2692
0.4257 0.5765 0.1566
0.5743 0.4235 0.8434
0.5743 0.6508 0.7308
0.5765 0.1566 0.4257
0.5765 0.9199 0.1508
0.5801 0.1566 0.2308
0.5801 0.9235 0.3492
0.6508 0.4199 0.0765
0.6508 0.7308 0.5743
0.6566 0.0765 0.9257
0.6566 0.0801 0.7308
0.7308 0.5743 0.6508
0.7308 0.6566 0.0801
0.7692 0.4199 0.8434
0.7692 0.8492 0.9257
0.8434 0.5743 0.4235
0.8434 0.7692 0.4199
0.8492 0.4235 0.0801
0.8492 0.9257 0.7692
0.9199 0.1508 0.5765
0.9199 0.2692 0.3434
0.9235 0.0743 0.3434
0.9235 0.3492 0.5801
0.9257 0.6566 0.0765
0.9257 0.7692 0.8492

=====

Tb3Sm2Ag2 (GGA-PBE, optimized geometry); energy of formation = -106 meV per atom
1.0
3.5960 0.0000 0.0000
0.0000 3.6002 0.0000
1.7946 0.0176 15.5706
Tb Sm Ag
3 2 2
direct
0.0000 0.0000 0.0000
0.1196 0.0005 0.7609
0.8804 0.9995 0.2391
0.2994 0.4985 0.4022
0.7006 0.5015 0.5978
0.4408 0.4998 0.1184
0.5592 0.5002 0.8816

=====

Tb4SmAg (GGA-PBE, optimized geometry); energy of formation = 51 meV per atom
1.0
2.7359 -10.4567 0.0000
2.7359 10.4567 0.0000
0.0000 0.0000 6.4775
Tb Sm Ag
8 2 2
direct
0.0345 0.9655 0.5000
0.1766 0.8234 0.3012
0.2440 0.7560 0.7846
0.4341 0.5659 0.6653
0.5659 0.4341 0.1653
0.7560 0.2440 0.2846
0.8234 0.1766 0.8012
0.9655 0.0345 0.0000
0.3656 0.6344 0.1606
0.6344 0.3656 0.6606
0.1033 0.8967 0.9082
0.8967 0.1033 0.4082

=====

Tb3Sm2Ag2 (GGA-PBE, optimized geometry); energy of formation = -103 meV per atom
1.0
4.6789 -2.7035 0.0000
4.6789 2.7035 0.0000
-3.1264 0.0000 7.8060
Tb Sm Ag
3 2 2
direct
0.0000 0.0000 0.0000
0.1621 0.1621 0.4861
0.8379 0.8379 0.5139
0.4244 0.4244 0.2737
0.5756 0.5756 0.7263
0.2883 0.2883 0.8639
0.7117 0.7117 0.1361

=====

TbSm2Ag (GGA-PBE, optimized geometry); energy of formation = -110 meV per atom
1.0
3.6512 0.0000 0.0000
0.0000 3.6512 0.0000
0.0000 0.0000 8.8391
Tb Sm Ag
1 2 1
direct
0.0000 0.0000 0.0000
0.5000 0.5000 0.2832
0.5000 0.5000 0.7168
0.0000 0.0000 0.5000

=====

TbSm2Ag2 (GGA-PBE, optimized geometry); energy of formation = -209 meV per atom
1.0
3.6998 0.0000 0.0000
0.0000 5.3161 0.0000
-1.8438 0.0000 13.6207
Tb Sm Ag
2 4 4
direct
0.1449 0.2500 0.2903
0.8551 0.7500 0.7097
0.0476 0.7500 0.0948
0.2353 0.7500 0.4692
0.7647 0.2500 0.5308
0.9524 0.2500 0.9052
0.3577 0.2500 0.7163
0.4509 0.7500 0.9012
0.5491 0.2500 0.0988
0.6423 0.7500 0.2837

=====

Tb2Sm2Ag3 (GGA-PBE, optimized geometry); energy of formation = -140 meV per atom
1.0
4.4518 -2.5716 0.0000
4.4518 2.5716 0.0000
-2.9801 0.0000 8.4137
Tb Sm Ag
2 2 3
direct
0.1240 0.1240 0.3706
0.8760 0.8760 0.6294
0.3742 0.3742 0.1199
0.6258 0.6258 0.8801
0.2483 0.2483 0.7452
0.5000 0.5000 0.5000
0.7517 0.7517 0.2548

=====

| no. | total moment (Bohr magnetons per cell) | N(E_F) (states/eV/f.u.) |
| --- | --- | --- |
| 1 | 0.00 | 3.0 |
| 2 | 0.00 | 13.7 |
| 3 | 0.00 | 4.8 |
| 4 | 0.00 | 3.1 |
| 5 | 0.00 | 10.2 |
| 6 | 0.00 | 21.0 |
| 7 | 0.00 | 7.9 |
| 8 | 0.00 | 8.8 |
| 9 | 0.00 | 6.6 |
| 10 | 0.00 | 5.9 |
| 11 | 0.00 | 4.4 |
| 12 | 0.00 | 7.9 |